Compound: TcRhS2N
Source: Alexandria via LeMat-Bulk
Functional: SCAN
Structure: PBEsol geometry

a = 4.738 Å, b = 4.738 Å, c = 3.555 Å
α = 90.00°, β = 90.00°, γ = 90.00°
Element x y z (fractional)
1 Tc 0.000 0.000 0.000
2 Rh 0.500 0.500 0.500
3 S 0.000 0.500 0.500
4 S 0.500 0.000 0.500
5 N 0.500 0.500 0.000

Calculated values
Total magnetization, μB per cell: 4.2
Formation energy (no corrections), eV per atom: 0.783
VASP energy, eV per atom: -18.69
Space group: P4/mmm